# 1
A plane-wave DFT calculation with PBE-GGA was carried out for a relaxed structure of Er5Cu12Ni2.

Cell and atoms, written as CIF:
```
data_Er5Cu12Ni2
_cell_length_a 14.008
_cell_length_b 6.793
_cell_length_c 6.482
_cell_angle_alpha 90.00
_cell_angle_beta 92.92
_cell_angle_gamma 90.00
_symmetry_space_group_name_H-M 'C 1 2/m 1'
_symmetry_Int_Tables_number 12
loop_
_symmetry_equiv_pos_as_xyz
'x,y,z'
'-x,-y,-z'
'-x,y,-z'
'x,-y,z'
'x+1/2,y+1/2,z'
'-x+1/2,-y+1/2,-z'
'-x+1/2,y+1/2,-z'
'x+1/2,-y+1/2,z'
loop_
_atom_site_label
_atom_site_fract_x
_atom_site_fract_y
_atom_site_fract_z
Er1 0.000 0.000 0.000
Er2 0.190 0.500 0.545
Er3 0.242 0.000 0.935
Cu1 0.055 0.500 0.175
Cu2 0.094 0.000 0.589
Cu3 0.097 0.308 0.847
Cu4 0.136 0.186 0.262
Ni1 0.000 0.316 0.500
```

Output
ΔE_f, eV/atom: -0.14
Final energy, eV/cell: -172.35
Spin magnetization, μB per atom: 0.0000
Theoretical density, g/cm3: 9.252



# 2
A plane-wave DFT calculation with PBE-GGA was carried out for a relaxed structure of Er2CuNi.

Cell and atoms, written as CIF:
```
data_Er2CuNi
_cell_length_a 5.365
_cell_length_b 4.387
_cell_length_c 7.281
_cell_angle_alpha 90.00
_cell_angle_beta 109.82
_cell_angle_gamma 90.00
_symmetry_space_group_name_H-M 'P 1 21/m 1'
_symmetry_Int_Tables_number 11
loop_
_symmetry_equiv_pos_as_xyz
'x,y,z'
'-x,-y,-z'
'-x,y+1/2,-z'
'x,-y+1/2,z'
loop_
_atom_site_label
_atom_site_fract_x
_atom_site_fract_y
_atom_site_fract_z
Er1 0.217 0.250 0.432
Er2 0.227 0.250 0.929
Cu1 0.350 0.750 0.214
Ni1 0.355 0.750 0.714
```

Output
ΔE_f, eV/atom: -0.39
Final energy, eV/cell: -41.16
Spin magnetization, μB per atom: 0.0000
Theoretical density, g/cm3: 9.409



# 3
A plane-wave DFT calculation with PBE-GGA was carried out for a relaxed structure of Er2Cu15Ni2.

Cell and atoms, written as CIF:
```
data_Er2Cu15Ni2
_cell_length_a 8.4813
_cell_length_b 8.4813
_cell_length_c 12.4167
_cell_angle_alpha 90.00
_cell_angle_beta 90.00
_cell_angle_gamma 120.00
_symmetry_space_group_name_H-M 'R -3 m'
_symmetry_Int_Tables_number 166
_symmetry_space_group_name_Hall '-R 3 2"'
loop_
_atom_site_label
_atom_site_fract_x
_atom_site_fract_y
_atom_site_fract_z
Er1 0.0000 0.0000 0.1671
Cu1 0.0000 0.2939 0.5000
Cu2 0.0000 0.5000 0.0000
Cu3 0.9996 0.4998 0.3476
Ni1 0.0000 0.0000 0.4017
```

Output
ΔE_f, eV/atom: -0.12
Final energy, eV/cell: -253.41
Spin magnetization, μB per atom: 0.0000
Theoretical density, g/cm3: 9.049



# 4
A plane-wave DFT calculation with PBE-GGA was carried out for a relaxed structure of ErCu2Ni4.

Cell and atoms, written as CIF:
```
data_ErCu2Ni4
_cell_length_a 7.835
_cell_length_b 6.183
_cell_length_c 4.808
_cell_angle_alpha 90.00
_cell_angle_beta 127.65
_cell_angle_gamma 90.00
_symmetry_space_group_name_H-M 'C 1 2/m 1'
_symmetry_Int_Tables_number 12
loop_
_symmetry_equiv_pos_as_xyz
'x,y,z'
'-x,-y,-z'
'-x,y,-z'
'x,-y,z'
'x+1/2,y+1/2,z'
'-x+1/2,-y+1/2,-z'
'-x+1/2,y+1/2,-z'
'x+1/2,-y+1/2,z'
loop_
_atom_site_label
_atom_site_fract_x
_atom_site_fract_y
_atom_site_fract_z
Er1 0.000 0.000 0.000
Cu1 0.000 0.500 0.249
Ni1 0.193 0.193 0.693
```

Output
ΔE_f, eV/atom: -0.19
Final energy, eV/cell: -74.38
Spin magnetization, μB per atom: 0.0000
Offset from the most stable computed form, eV per atom: 0.000
Theoretical density, g/cm3: 9.529



# 5
A plane-wave DFT calculation with PBE-GGA was carried out for a relaxed structure of ErCu4Ni4.

Cell and atoms, written as CIF:
```
data_ErCu4Ni4
_cell_length_a 7.840
_cell_length_b 7.840
_cell_length_c 3.766
_cell_angle_alpha 90.00
_cell_angle_beta 90.00
_cell_angle_gamma 90.00
_symmetry_space_group_name_H-M 'I 4/m m m'
_symmetry_Int_Tables_number 139
_symmetry_space_group_name_Hall '-I 4 2'
loop_
_atom_site_label
_atom_site_fract_x
_atom_site_fract_y
_atom_site_fract_z
Er1 0.000 0.000 0.000
Cu1 0.180 0.180 0.500
Ni1 0.000 0.344 0.000
```

Output
ΔE_f, eV/atom: -0.06
Final energy, eV/cell: -89.27
Spin magnetization, μB per atom: 0.0000
Theoretical density, g/cm3: 9.414



# 6
A plane-wave DFT calculation with PBE-GGA was carried out for a relaxed structure of Er2CuNi.

Cell and atoms, written as CIF:
```
data_Er2CuNi
_cell_length_a 3.382
_cell_length_b 3.382
_cell_length_c 6.818
_cell_angle_alpha 90.00
_cell_angle_beta 90.00
_cell_angle_gamma 90.00
_symmetry_space_group_name_H-M 'P 4/m m m'
_symmetry_Int_Tables_number 123
_symmetry_space_group_name_Hall '-P 4 2'
loop_
_atom_site_label
_atom_site_fract_x
_atom_site_fract_y
_atom_site_fract_z
Er1 0.000 0.000 0.243
Cu1 0.500 0.500 0.500
Ni1 0.500 0.500 0.000
```

Output
ΔE_f, eV/atom: -0.36
Final energy, eV/cell: -20.43
Spin magnetization, μB per atom: 0.0000
Theoretical density, g/cm3: 9.725



# 7
A plane-wave DFT calculation with PBE-GGA was carried out for a relaxed structure of Er2Cu3Ni2.

Cell and atoms, written as CIF:
```
data_Er2Cu3Ni2
_cell_length_a 9.543
_cell_length_b 4.065
_cell_length_c 6.240
_cell_angle_alpha 90.00
_cell_angle_beta 111.47
_cell_angle_gamma 90.00
_symmetry_space_group_name_H-M 'C 1 2/m 1'
_symmetry_Int_Tables_number 12
loop_
_symmetry_equiv_pos_as_xyz
'x,y,z'
'-x,-y,-z'
'-x,y,-z'
'x,-y,z'
'x+1/2,y+1/2,z'
'-x+1/2,-y+1/2,-z'
'-x+1/2,y+1/2,-z'
'x+1/2,-y+1/2,z'
loop_
_atom_site_label
_atom_site_fract_x
_atom_site_fract_y
_atom_site_fract_z
Er1 0.144 0.000 0.250
Cu1 0.000 0.500 0.500
Cu2 0.139 0.000 0.720
Ni1 0.111 0.500 0.932
```

Output
ΔE_f, eV/atom: -0.30
Final energy, eV/cell: -70.09
Spin magnetization, μB per atom: 0.0000
Theoretical density, g/cm3: 9.473



# 8
A plane-wave DFT calculation with PBE-GGA was carried out for a relaxed structure of Er2CuNi3.

Cell and atoms, written as CIF:
```
data_Er2CuNi3
_cell_length_a 5.1322
_cell_length_b 5.1322
_cell_length_c 12.1974
_cell_angle_alpha 90.00
_cell_angle_beta 90.00
_cell_angle_gamma 120.00
_symmetry_space_group_name_H-M 'R -3 m'
_symmetry_Int_Tables_number 166
_symmetry_space_group_name_Hall '-R 3 2"'
loop_
_atom_site_label
_atom_site_fract_x
_atom_site_fract_y
_atom_site_fract_z
Er1 0.0000 0.0000 0.1253
Cu1 0.0000 0.0000 0.5000
Ni1 0.0000 0.5000 0.0000
```

Output
ΔE_f, eV/atom: -0.41
Final energy, eV/cell: -99.12
Spin magnetization, μB per atom: 0.0000
Offset from the most stable computed form, eV per atom: 0.000
Theoretical density, g/cm3: 10.277



# 9
A plane-wave DFT calculation with PBE-GGA was carried out for a relaxed structure of Er8Cu2Ni.

Cell and atoms, written as CIF:
```
data_Er8Cu2Ni
_cell_length_a 8.082
_cell_length_b 13.158
_cell_length_c 5.860
_cell_angle_alpha 90.00
_cell_angle_beta 113.22
_cell_angle_gamma 90.00
_symmetry_space_group_name_H-M 'C 1 m 1'
_symmetry_Int_Tables_number 8
loop_
_symmetry_equiv_pos_as_xyz
'x,y,z'
'x,-y,z'
'x+1/2,y+1/2,z'
'x+1/2,-y+1/2,z'
loop_
_atom_site_label
_atom_site_fract_x
_atom_site_fract_y
_atom_site_fract_z
Er1 0.000 0.000 0.000
Er2 0.084 0.373 0.839
Er3 0.135 0.126 0.586
Er4 0.216 0.500 0.397
Er5 0.361 0.192 0.203
Cu1 0.351 0.302 0.689
Ni1 0.357 0.000 0.006
```

Output
ΔE_f, eV/atom: -0.04
Final energy, eV/cell: -101.73
Spin magnetization, μB per atom: 0.0000
Offset from the most stable computed form, eV per atom: 0.115
Theoretical density, g/cm3: 8.836



# 10
A plane-wave DFT calculation with PBE-GGA was carried out for a relaxed structure of ErCuNi2.

Cell and atoms, written as CIF:
```
data_ErCuNi2
_cell_length_a 5.0124
_cell_length_b 5.0124
_cell_length_c 24.1810
_cell_angle_alpha 90.00
_cell_angle_beta 90.00
_cell_angle_gamma 120.00
_symmetry_space_group_name_H-M 'R -3 m'
_symmetry_Int_Tables_number 166
_symmetry_space_group_name_Hall '-R 3 2"'
loop_
_atom_site_label
_atom_site_fract_x
_atom_site_fract_y
_atom_site_fract_z
Er1 0.0000 0.0000 0.0000
Er2 0.0000 0.0000 0.1377
Cu1 0.0000 0.0000 0.3337
Cu2 0.0000 0.0000 0.5000
Ni1 0.0040 0.5020 0.9167
```

Output
ΔE_f, eV/atom: -0.40
Final energy, eV/cell: -196.26
Spin magnetization, μB per atom: 0.0000
Theoretical density, g/cm3: 9.890



# 11
A plane-wave DFT calculation with PBE-GGA was carried out for a relaxed structure of Er2CuNi7.

Cell and atoms, written as CIF:
```
data_Er2CuNi7
_cell_length_a 3.751
_cell_length_b 3.751
_cell_length_c 10.325
_cell_angle_alpha 90.00
_cell_angle_beta 90.00
_cell_angle_gamma 90.00
_symmetry_space_group_name_H-M 'P -4 m 2'
_symmetry_Int_Tables_number 115
loop_
_symmetry_equiv_pos_as_xyz
'x,y,z'
'y,-x,-z'
'-x,-y,z'
'-y,x,-z'
'-x,y,z'
'-y,-x,-z'
'x,-y,z'
'y,x,-z'
loop_
_atom_site_label
_atom_site_fract_x
_atom_site_fract_y
_atom_site_fract_z
Er1 0.000 0.500 0.246
Cu1 0.000 0.000 0.500
Ni1 0.000 0.000 0.000
Ni2 0.000 0.500 0.643
Ni3 0.000 0.500 0.861
Ni4 0.500 0.500 0.000
Ni5 0.500 0.500 0.500
```

Output
ΔE_f, eV/atom: -0.20
Final energy, eV/cell: -55.69
Spin magnetization, μB per atom: 0.1418
Theoretical density, g/cm3: 9.246